VASP calculation (PBE-GGA) on a relaxed TbCePa2 crystal.

Geometry as POSCAR:
```
TbCePa2
1.0
4.625 0.000 0.000
0.000 4.625 0.000
0.000 0.000 4.957
Tb Ce Pa
1 1 2
Direct
0.000 0.000 0.000
0.500 0.500 0.000
0.000 0.500 0.500
0.500 0.000 0.500
```

Values from the calculation:
Excess energy over the best structure of this formula in the dataset ... 0.89 kcal/mol of atoms
Energy of formation from the pure elements ... 0.8 eV/f.u.
Fermi-level density of states ... 2.381 states/eV per atom
Total energy ... -7.19 eV/atom